No. 1
Here is a geometry-optimized FeMo2Cl structure from Alexandria. Energies are from PBE-GGA.

Computed properties:
For the electronic total energy, the calculation gives -7.02 eV/atom. For the formation energy without anion corrections, the calculation gives 0.98 eV/atom. The symmetry is No. 216. For the spin magnetization, the calculation gives 0.763 μB per atom.

a b c (Å): 4.418 4.418 4.418
angles (deg): 60.00 60.00 60.00
Fractional coordinates of all 4 atoms:
Mo 0.000 0.000 0.000
Mo 0.250 0.250 0.250
Fe 0.750 0.750 0.750
Cl 0.500 0.500 0.500



No. 2
Here is a geometry-optimized Zn2Hg2Te structure from Alexandria. Energies are from PBE-GGA.

Computed properties:
For the electronic total energy, the calculation gives -1.22 eV/atom. For the formation energy without anion corrections, the calculation gives 0.04 eV/atom. The symmetry is No. 127. For the spin magnetization, the calculation gives 0.000 μB per atom.

a b c (Å): 6.956 6.956 5.536
angles (deg): 90.00 90.00 90.00
Fractional coordinates of all 10 atoms:
Zn 0.624 0.124 0.000
Zn 0.124 0.376 0.000
Zn 0.376 0.876 0.000
Zn 0.876 0.624 0.000
Hg 0.824 0.324 0.500
Hg 0.176 0.676 0.500
Hg 0.676 0.824 0.500
Hg 0.324 0.176 0.500
Te 0.000 0.000 0.000
Te 0.500 0.500 0.000